[1]
The following is a DFT calculation (GGA-PBE) of a relaxed Ac2MgIrAu crystal.

Output
- Formation enthalpy at 0 K: -0.647 eV/atom

Cell lengths 4.3568, 4.3568, 15.0609 Å; angles 90.00, 90.00, 90.00 degrees
With the nearest neighbours (Å) after each atom.
Element x y z (fractional)
Ac 0.2500 0.2500 0.0977  5 Ir 3.08-3.10
Ac 0.2500 0.2500 0.7043  1 Ir 2.82
Ac 0.7500 0.7500 0.2957  1 Ir 2.82
Ac 0.7500 0.7500 0.9023  5 Ir 3.08-3.10
Mg 0.2500 0.7500 0.5000  4 Au 2.85, 4 Mg 3.08
Mg 0.7500 0.2500 0.5000  4 Au 2.85, 4 Mg 3.08
Ir 0.2500 0.2500 0.8917  6 Ac 2.82-3.10
Ir 0.7500 0.7500 0.1083  6 Ac 2.82-3.10
Au 0.2500 0.2500 0.3783  4 Mg 2.85
Au 0.7500 0.7500 0.6217  4 Mg 2.85

[2]
The following is a DFT calculation (GGA-PBE) of a relaxed KCa2Y crystal.

Output
- Formation enthalpy at 0 K: 0.566 eV/atom
- ΔE to the lowest computed polymorph: 39.7 kJ/mol of atoms

Cell lengths 9.5482, 9.5482, 7.4497 Å; angles 90.00, 90.00, 90.00 degrees
With the nearest neighbours (Å) after each atom.
Element x y z (fractional)
K 0.0000 0.0000 0.0000  4 Ca 3.47, 2 Y 3.72
K 0.0000 0.5000 0.2500  4 Ca 3.47, 2 Y 3.72
K 0.5000 0.0000 0.7500  4 Ca 3.47, 2 Y 3.72
K 0.5000 0.5000 0.5000  4 Ca 3.47, 2 Y 3.72
Ca 0.2446 0.2500 0.1250  2 K 3.47, 2 Y 3.54, 2 Ca 3.73
Ca 0.2500 0.7446 0.3750  2 K 3.47, 2 Y 3.54, 2 Ca 3.73
Ca 0.2500 0.7554 0.8750  2 K 3.47, 2 Y 3.54, 2 Ca 3.73
Ca 0.2554 0.2500 0.6250  2 K 3.47, 2 Y 3.54, 2 Ca 3.73
Ca 0.7446 0.7500 0.6250  2 K 3.47, 2 Y 3.54, 2 Ca 3.73
Ca 0.7500 0.2446 0.8750  2 K 3.47, 2 Y 3.54, 2 Ca 3.73
Ca 0.7500 0.2554 0.3750  2 K 3.47, 2 Y 3.54, 2 Ca 3.73
Ca 0.7554 0.7500 0.1250  2 K 3.47, 2 Y 3.54, 2 Ca 3.73
Y 0.0000 0.0000 0.5000  4 Ca 3.54, 2 K 3.72
Y 0.0000 0.5000 0.7500  4 Ca 3.54, 2 K 3.72
Y 0.5000 0.0000 0.2500  4 Ca 3.54, 2 K 3.72
Y 0.5000 0.5000 0.0000  4 Ca 3.54, 2 K 3.72

[3]
The following is a DFT calculation (GGA-PBE) of a relaxed LuMgSi2 crystal.

Output
- Energy relative to the elements, uncorrected: -295 meV per atom

Cell lengths 4.3036, 4.3036, 3.9730 Å; angles 90.00, 90.00, 90.00 degrees
With the nearest neighbours (Å) after each atom.
Element x y z (fractional)
Lu 0.0000 0.0000 0.0000  8 Si 2.93, 4 Mg 3.04
Mg 0.5000 0.5000 0.0000  8 Si 2.93, 4 Lu 3.04
Si 0.0000 0.5000 0.5000  4 Mg 2.93, 4 Lu 2.93, 4 Si 3.04
Si 0.5000 0.0000 0.5000  4 Mg 2.93, 4 Lu 2.93, 4 Si 3.04

[4]
The following is a DFT calculation (GGA-PBE) of a relaxed PuScO3 crystal.

Output
- Energy relative to the elements, uncorrected: -2920 meV per atom

Cell lengths 6.5969, 6.5969, 3.9482 Å; angles 90.00, 90.00, 129.66 degrees
With the nearest neighbours (Å) after each atom.
Element x y z (fractional)
Pu 0.1502 0.8498 0.0000  1 O 2.28
Pu 0.8498 0.1502 0.0000  1 O 2.28
Sc 0.3793 0.6207 0.5000  6 O 2.03-2.09
Sc 0.6207 0.3793 0.5000  6 O 2.03-2.09
O 0.0000 0.5000 0.5000  2 Sc 2.09
O 0.2327 0.2327 0.5000  2 Sc 2.08
O 0.3408 0.6592 0.0000  2 Sc 2.03
O 0.5000 0.0000 0.5000  2 Sc 2.09
O 0.6592 0.3408 0.0000  2 Sc 2.03
O 0.7673 0.7673 0.5000  2 Sc 2.08

[5]
The following is a DFT calculation (GGA-PBE) of a relaxed Zr4PbC2 crystal.

Output
- Formation enthalpy at 0 K: -0.611 eV/atom

Cell lengths 13.0779, 13.0779, 13.0779 Å; angles 14.87, 14.87, 14.87 degrees
With the nearest neighbours (Å) after each atom.
Element x y z (fractional)
Zr 0.1301 0.1301 0.1301  3 C 2.34
Zr 0.2676 0.2676 0.2676  3 C 2.30
Zr 0.7324 0.7324 0.7324  3 C 2.30
Zr 0.8699 0.8699 0.8699  3 C 2.34
Pb 0.0000 0.0000 0.0000  6 Zr 3.21, 6 Pb 3.38
C 0.4302 0.4302 0.4302  6 Zr 2.30-2.34
C 0.5698 0.5698 0.5698  6 Zr 2.30-2.34

[6]
The following is a DFT calculation (GGA-PBE) of a relaxed CePmNpN3 crystal.

Output
- Energy relative to the elements, uncorrected: -1020 meV per atom

Cell lengths 7.2154, 3.6575, 8.7112 Å; angles 90.00, 95.58, 90.00 degrees
With the nearest neighbours (Å) after each atom.
Element x y z (fractional)
Ce 0.1276 0.2500 0.1563  4 N 2.32-2.50
Ce 0.8724 0.7500 0.8437  4 N 2.32-2.50
Pm 0.3469 0.7500 0.8716  5 N 2.43-2.62
Pm 0.6531 0.2500 0.1284  5 N 2.43-2.62
Np 0.4471 0.7500 0.4096  4 N 2.18-2.38
Np 0.5529 0.2500 0.5904  4 N 2.18-2.38
N 0.1075 0.2500 0.8891  3 Ce 2.32-2.50, 2 Pm 2.53
N 0.2828 0.2500 0.4096  3 Np 2.18-2.38, 1 Ce 2.37
N 0.3978 0.7500 0.1516  1 Np 2.24, 1 Pm 2.43
N 0.6022 0.2500 0.8484  1 Np 2.24, 1 Pm 2.43
N 0.7172 0.7500 0.5904  3 Np 2.18-2.38, 1 Ce 2.37
N 0.8925 0.7500 0.1109  3 Ce 2.32-2.50, 2 Pm 2.53